Density functional theory data (PBE) for a geometry-optimized Pr3Ho5Tm2 structure.

Output
The value obtained for the magnetization is 0.00 μB/atom. The calculated total energy is -44.2 eV per formula unit. The energy of formation is 0.19 eV per atom.

Cell and atoms, written as POSCAR:
```
Pr3Ho5Tm2
1.0
-6.6980 -6.1682 -2.3457
1.8066 -8.3981 3.7392
-1.7253 9.3126 5.8768
Ho Pr Tm
10 6 4
direct
0.5308 0.2808 0.5615
0.1529 0.3988 0.2821
0.8471 0.6012 0.7179
0.9716 0.2216 0.4432
0.0284 0.7784 0.5568
0.7273 0.4772 0.9545
0.2727 0.5228 0.0455
0.6292 0.8833 0.2821
0.4692 0.7192 0.4385
0.3708 0.1167 0.7179
0.2671 0.5238 0.7479
0.2354 0.9854 0.9708
0.0192 0.7759 0.2521
0.9808 0.2241 0.7479
0.7329 0.4762 0.2521
0.7646 0.0146 0.0292
0.2339 0.9893 0.2703
0.5364 0.2810 0.2703
0.7661 0.0107 0.7297
0.4636 0.7190 0.7297
```


Density functional theory data (PBE) for a geometry-optimized Zr6SnHg5 structure.

Output
The value obtained for the magnetization is 0.00 μB/atom. The calculated total energy is -59.6 eV per formula unit. The energy of formation is -0.24 eV per atom.

Cell and atoms, written as POSCAR:
```
Zr6SnHg5
1.0
4.2676 -0.0255 1.4222
0.0459 8.5359 0.0153
-0.0066 -0.0127 7.1338
Zr Hg Sn
6 5 1
direct
0.8335 0.2503 0.3330
0.1665 0.7497 0.6670
0.5000 0.2494 0.0000
0.8335 0.7497 0.3330
0.1665 0.2503 0.6670
0.5000 0.7506 0.0000
0.6697 0.0000 0.6605
0.6667 0.5000 0.6666
0.0000 0.5000 0.0000
0.3333 0.5000 0.3334
0.3303 0.0000 0.3395
0.0000 0.0000 0.0000
```